A | VASP calculation (GGA-PBE) on a geometry-optimized CdFe2Os structure.

```
CdFe2Os
1.0
-1.536 2.242 4.325
1.536 -2.242 4.325
1.536 2.242 -4.325
Cd Fe Os
1 2 1
Cartesian
0.000 0.000 0.000 Cd
1.536 0.000 2.288 Fe
0.000 2.242 2.036 Fe
0.000 0.000 4.325 Os
```

Properties
size of the total moment	1.537	μB per atom

***

B | VASP calculation (GGA-PBE) on a geometry-optimized CdFe2Os structure.

```
CdFe2Os
1.0
1.367 0.789 8.971
-1.367 0.789 8.971
0.000 -1.579 8.971
Cd Fe Os
1 2 1
Cartesian
0.000 0.000 0.000 Cd
0.000 0.000 6.573 Fe
0.000 0.000 20.341 Fe
0.000 0.000 13.457 Os
```

Properties
size of the total moment	1.215	μB per atom

***

Most stable of them? B.

***

A | VASP calculation (GGA-PBE) on a geometry-optimized CdFe2Os structure.

```
CdFe2Os
1.0
0.000 3.007 3.007
3.007 0.000 3.007
3.007 3.007 0.000
Cd Fe Os
1 2 1
Cartesian
0.000 0.000 0.000 Cd
1.503 1.503 1.503 Fe
4.510 4.510 4.510 Fe
3.007 3.007 3.007 Os
```

Properties
size of the total moment	0.000	μB per atom

***

B | VASP calculation (GGA-PBE) on a geometry-optimized CdFe2Os structure.

```
CdFe2Os
1.0
0.000 3.088 3.088
3.088 0.000 3.088
3.088 3.088 0.000
Cd Fe Os
1 2 1
Cartesian
0.000 0.000 0.000 Cd
3.088 3.088 3.088 Fe
4.632 4.632 4.632 Fe
1.544 1.544 1.544 Os
```

Properties
size of the total moment	1.560	μB per atom

***

Most stable of them? B.

***

A | VASP calculation (GGA-PBE) on a geometry-optimized CdFeOs2 structure.

```
CdFeOs2
1.0
0.000 3.103 3.103
3.103 0.000 3.103
3.103 3.103 0.000
Cd Fe Os
1 1 2
Cartesian
0.000 0.000 0.000 Cd
3.103 3.103 3.103 Fe
1.552 1.552 1.552 Os
4.655 4.655 4.655 Os
```

Properties
size of the total moment	0.574	μB per atom

***

B | VASP calculation (GGA-PBE) on a geometry-optimized CdFeOs2 structure.

```
CdFeOs2
1.0
1.383 0.798 9.155
-1.383 0.798 9.155
0.000 -1.597 9.155
Cd Fe Os
1 1 2
Cartesian
0.000 0.000 0.000 Cd
0.000 0.000 20.702 Fe
0.000 0.000 6.613 Os
0.000 0.000 13.661 Os
```

Properties
size of the total moment	0.578	μB per atom

***

C | VASP calculation (GGA-PBE) on a geometry-optimized CdFeOs2 structure.

```
CdFeOs2
1.0
1.418 -2.318 0.000
1.418 2.318 0.000
0.000 0.000 9.341
Cd Fe Os
1 1 2
Cartesian
0.000 0.000 0.000 Cd
1.418 0.000 6.937 Fe
0.000 0.000 4.820 Os
1.418 0.000 2.572 Os
```

Properties
size of the total moment	0.651	μB per atom

***

Most stable of them? B.

***

A | VASP calculation (GGA-PBE) on a geometry-optimized CdFeOs2 structure.

```
CdFeOs2
1.0
-1.925 1.925 4.029
1.925 -1.925 4.029
1.925 1.925 -4.029
Cd Fe Os
1 1 2
Cartesian
0.000 0.000 0.000 Cd
0.000 0.000 4.029 Fe
1.925 0.000 2.014 Os
0.000 1.925 2.014 Os
```

Properties
size of the total moment	0.491	μB per atom

***

B | VASP calculation (GGA-PBE) on a geometry-optimized CdFeOs2 structure.

```
CdFeOs2
1.0
4.873 -1.386 0.000
4.873 1.386 0.000
-1.284 0.000 4.457
Cd Fe Os
1 1 2
Cartesian
0.000 0.000 0.000 Cd
4.231 0.000 2.228 Fe
1.249 0.000 3.199 Os
7.213 0.000 1.258 Os
```

Properties
size of the total moment	0.592	μB per atom

***

C | VASP calculation (GGA-PBE) on a geometry-optimized CdFeOs2 structure.

```
CdFeOs2
1.0
1.416 -2.322 0.000
1.416 2.322 0.000
0.000 0.000 9.300
Cd Fe Os
1 1 2
Cartesian
0.000 0.000 0.000 Cd
0.000 0.000 4.650 Fe
1.416 0.000 2.553 Os
1.416 0.000 6.747 Os
```

Properties
size of the total moment	0.803	μB per atom

***

D | VASP calculation (GGA-PBE) on a geometry-optimized CdFeOs2 structure.

```
CdFeOs2
1.0
-1.983 1.983 3.798
1.983 -1.983 3.798
1.983 1.983 -3.798
Cd Fe Os
1 1 2
Cartesian
0.000 0.000 0.000 Cd
1.983 0.000 1.899 Fe
0.000 0.000 3.798 Os
0.000 1.983 1.899 Os
```

Properties
size of the total moment	0.691	μB per atom

***

Most stable of them? B.

***

A | VASP calculation (GGA-PBE) on a geometry-optimized CdFePS2 structure.

```
CdFePS2
1.0
4.723 0.000 0.000
0.000 4.723 0.000
0.000 0.000 4.187
Cd Fe P S
1 1 1 2
Cartesian
0.000 0.000 0.000 Cd
2.361 2.361 2.093 Fe
2.361 2.361 0.000 P
0.000 2.361 2.093 S
2.361 0.000 2.093 S
```

Properties
size of the total moment	0.341	μB per atom

***

B | VASP calculation (GGA-PBE) on a geometry-optimized CdFePS2 structure.

```
CdFePS2
1.0
4.964 0.000 0.000
0.000 4.964 0.000
0.000 0.000 4.886
Cd Fe P S
1 1 1 2
Cartesian
0.000 0.000 0.000 Cd
2.482 2.482 2.443 Fe
0.000 0.000 2.443 P
0.000 2.482 0.000 S
2.482 0.000 0.000 S
```

Properties
size of the total moment	0.641	μB per atom

***

Most stable of them? A.

***

A | VASP calculation (GGA-PBE) on a geometry-optimized Pa2CdFe structure.

```
Pa2CdFe
1.0
1.820 1.051 8.308
-1.820 1.051 8.308
0.000 -2.102 8.308
Pa Cd Fe
2 1 1
Cartesian
0.000 0.000 5.681 Pa
0.000 0.000 19.242 Pa
0.000 0.000 0.000 Cd
0.000 0.000 12.462 Fe
```

Properties
size of the total moment	0.000	μB per atom

***

B | VASP calculation (GGA-PBE) on a geometry-optimized Pa2CdFe structure.

```
Pa2CdFe
1.0
3.082 0.000 0.000
0.000 3.082 0.000
0.000 0.000 8.790
Pa Cd Fe
2 1 1
Cartesian
0.000 0.000 1.794 Pa
0.000 0.000 6.996 Pa
1.541 1.541 4.395 Cd
1.541 1.541 0.000 Fe
```

Properties
size of the total moment	0.105	μB per atom

***

Most stable of them? B.

***

A | VASP calculation (GGA-PBE) on a geometry-optimized PaCdFe structure.

```
PaCdFe
1.0
2.998 -2.358 0.000
2.998 2.358 0.000
-0.936 0.000 9.319
Pa Cd Fe
2 2 2
Cartesian
0.262 0.000 1.643 Pa
4.799 0.000 7.675 Pa
1.262 0.000 5.458 Cd
3.798 0.000 3.860 Cd
1.841 0.000 0.132 Fe
3.219 0.000 9.186 Fe
```

Properties
size of the total moment	0.000	μB per atom

***

B | VASP calculation (GGA-PBE) on a geometry-optimized PaCdFe structure.

```
PaCdFe
1.0
3.727 0.000 0.000
-0.164 5.342 0.000
-1.513 -0.822 6.173
Pa Cd Fe
2 2 2
Cartesian
-0.039 1.372 1.890 Pa
2.089 3.148 4.283 Pa
0.287 0.475 5.289 Cd
1.763 4.045 0.884 Cd
-0.068 3.983 2.974 Fe
2.119 0.537 3.199 Fe
```

Properties
size of the total moment	0.000	μB per atom

***

Most stable of them? B.

***

A | VASP calculation (GGA-PBE) on a geometry-optimized CdFe2Pb structure.

```
CdFe2Pb
1.0
3.158 0.000 0.000
0.000 3.158 0.000
0.000 0.000 7.621
Cd Fe Pb
1 2 1
Cartesian
0.000 0.000 0.000 Cd
0.000 0.000 2.815 Fe
1.579 1.579 1.782 Fe
1.579 1.579 4.821 Pb
```

Properties
size of the total moment	1.252	μB per atom

***

B | VASP calculation (GGA-PBE) on a geometry-optimized CdFe2Pb structure.

```
CdFe2Pb
1.0
-2.092 2.092 4.073
2.092 -2.092 4.073
2.092 2.092 -4.073
Cd Fe Pb
1 2 1
Cartesian
0.000 0.000 0.000 Cd
2.092 0.000 2.036 Fe
0.000 2.092 2.036 Fe
0.000 0.000 4.073 Pb
```

Properties
size of the total moment	1.352	μB per atom

***

C | VASP calculation (GGA-PBE) on a geometry-optimized CdFe2Pb structure.

```
CdFe2Pb
1.0
0.000 3.261 3.261
3.261 0.000 3.261
3.261 3.261 0.000
Cd Fe Pb
1 2 1
Cartesian
0.000 0.000 0.000 Cd
1.631 1.631 1.631 Fe
4.892 4.892 4.892 Fe
3.261 3.261 3.261 Pb
```

Properties
size of the total moment	1.203	μB per atom

***

D | VASP calculation (GGA-PBE) on a geometry-optimized CdFe2Pb structure.

```
CdFe2Pb
1.0
3.040 0.000 0.000
0.000 4.001 0.000
0.000 0.000 6.024
Cd Fe Pb
1 2 1
Cartesian
0.000 0.000 0.000 Cd
1.520 2.000 1.256 Fe
1.520 2.000 4.768 Fe
0.000 0.000 3.012 Pb
```

Properties
size of the total moment	1.350	μB per atom

***

Most stable of them? A.